1.
Material: TlPd2F11
Method: DFT, GGA-PBE
State: optimized geometry

Unit cell a=8.7880 b=8.0676 c=8.0676 alpha=66.21 beta=57.00 gamma=57.00
Last column: nearest neighbours and their distance in Å.
Element x y z (fractional)
Pd: 0.6669 0.6674 0.3326  6 F 1.86-2.08
Pd: 0.8331 0.1674 0.8326  6 F 1.86-2.08
Pd: 0.1669 0.8326 0.1674  6 F 1.86-2.08
Pd: 0.3331 0.3326 0.6674  6 F 1.86-2.08
F: 0.5807 0.0861 0.6423  1 Pd 1.97
F: 0.0000 0.0000 0.0000  2 Pd 2.08, 2 F 2.28
F: 0.9137 0.4199 0.3079  1 Pd 1.97
F: 0.9193 0.8577 0.4139  1 Pd 1.97
F: 0.8091 0.4139 0.8577  1 Pd 1.97
F: 0.6909 0.6423 0.0861  1 Pd 1.97
F: 0.1909 0.5861 0.1423  1 Pd 1.97
F: 0.3164 0.6827 0.3173  1 Pd 1.86
F: 0.8164 0.8173 0.1827  1 Pd 1.86
F: 0.3091 0.3577 0.9139  1 Pd 1.97
F: 0.8585 0.9199 0.8079  1 Pd 1.97
F: 0.1415 0.0801 0.1921  1 Pd 1.97
F: 0.3585 0.3079 0.4199  1 Pd 1.97
F: 0.1836 0.1827 0.8173  1 Pd 1.86
F: 0.5863 0.1921 0.0801  1 Pd 1.97
F: 0.4137 0.8079 0.9199  1 Pd 1.97
F: 0.6836 0.3173 0.6827  1 Pd 1.86
F: 0.6415 0.6921 0.5801  1 Pd 1.97
F: 0.5000 0.5000 0.5000  2 Pd 2.08, 2 F 2.28
F: 0.4193 0.9139 0.3577  1 Pd 1.97
F: 0.0807 0.1423 0.5861  1 Pd 1.97
F: 0.0863 0.5801 0.6921  1 Pd 1.97
Tl: 0.2500 0.2500 0.2500  8 F 2.33
Tl: 0.7500 0.7500 0.7500  8 F 2.33

Values from the calculation:
formation energy from raw total energies: -17.9 eV per formula unit

***

2.
Material: SrLiAu
Method: DFT, GGA-PBE
State: optimized geometry

Unit cell a=5.1252 b=5.1252 c=5.1252 alpha=60.00 beta=60.00 gamma=60.00
Last column: nearest neighbours and their distance in Å.
Element x y z (fractional)
Sr: 0.7500 0.7500 0.7500  4 Li 3.14, 4 Au 3.14
Li: 0.5000 0.5000 0.5000  4 Sr 3.14
Au: 0.0000 0.0000 0.0000  4 Sr 3.14

Values from the calculation:
offset from the most stable computed form: 0.499 eV per atom

***

3.
Material: UBiN
Method: DFT, GGA-PBE
State: optimized geometry

Unit cell a=3.1929 b=3.1929 c=6.7638 alpha=103.65 beta=103.65 gamma=90.00
Last column: nearest neighbours and their distance in Å.
Element x y z (fractional)
Bi: 0.0025 0.0025 0.0050  4 Bi 3.19, 1 N 3.39, 1 U 3.49
U: 0.7290 0.7290 0.4580  4 N 2.31
N: 0.2685 0.2685 0.5370  4 U 2.31

Values from the calculation:
offset from the most stable computed form: 0.330 eV per atom
formation energy from raw total energies: -1.6 eV per formula unit

***

4.
Material: Dy2Y3Th2
Method: DFT, GGA-PBE
State: optimized geometry

Unit cell a=3.5766 b=10.7243 c=7.9565 alpha=58.49 beta=77.06 gamma=60.00
Last column: nearest neighbours and their distance in Å.
Element x y z (fractional)
Th: 0.7147 0.7137 0.4293  6 Y 3.49-3.57, 3 Dy 3.54-3.56, 3 Th 3.57-3.58
Th: 0.2853 0.2863 0.5707  6 Y 3.49-3.57, 3 Dy 3.54-3.56, 3 Th 3.57-3.58
Y: 0.5708 0.5672 0.1562  4 Th 3.49-3.51, 5 Y 3.58-3.68, 3 Dy 3.58-3.68
Y: 0.4292 0.4328 0.8438  4 Th 3.49-3.51, 5 Y 3.58-3.68, 3 Dy 3.58-3.68
Y: 0.0000 0.0000 0.0000  4 Th 3.57, 4 Y 3.58-3.59, 4 Dy 3.60
Dy: 0.1441 0.1394 0.2938  4 Dy 3.47-3.58, 3 Th 3.54-3.56, 5 Y 3.58-3.68
Dy: 0.8559 0.8606 0.7062  4 Dy 3.47-3.58, 3 Th 3.54-3.56, 5 Y 3.58-3.68

Values from the calculation:
offset from the most stable computed form: 0.000 eV per atom

***

5.
Material: Al2VPPd
Method: DFT, GGA-PBE
State: optimized geometry

Unit cell a=4.5915 b=4.4469 c=4.5915 alpha=90.00 beta=90.00 gamma=90.00
Last column: nearest neighbours and their distance in Å.
Element x y z (fractional)
P: 0.0000 0.0000 0.0000  2 Pd 2.22, 4 Al 2.30
Al: 0.0000 0.0000 0.5000  2 P 2.30
Al: 0.5000 0.0000 0.0000  2 P 2.30
Pd: 0.0000 0.5000 0.0000  2 P 2.22
V: 0.5000 0.5000 0.5000  8 Al 3.20, 4 Pd 3.25

Values from the calculation:
electronic total energy: -0.175 Ha/atom

***

6.
Material: La3PrY2Tm6
Method: DFT, GGA-PBE
State: optimized geometry

Unit cell a=6.2209 b=6.2209 c=11.7851 alpha=95.04 beta=95.04 gamma=119.98
Last column: nearest neighbours and their distance in Å.
Element x y z (fractional)
Tm: 0.4158 0.0823 0.2469  2 Y 3.54, 1 Pr 3.54, 6 Tm 3.59, 3 La 3.59-3.60
Tm: 0.2510 0.2510 0.7530  1 Pr 3.54, 2 Y 3.54, 6 Tm 3.59, 3 La 3.59
Tm: 0.7490 0.7490 0.2470  1 Pr 3.54, 2 Y 3.54, 6 Tm 3.59, 3 La 3.59
Tm: 0.9177 0.5842 0.7531  2 Y 3.54, 1 Pr 3.54, 6 Tm 3.59, 3 La 3.59-3.60
Tm: 0.5842 0.9177 0.7531  2 Y 3.54, 1 Pr 3.54, 6 Tm 3.59, 3 La 3.59-3.60
Tm: 0.0823 0.4158 0.2469  2 Y 3.54, 1 Pr 3.54, 6 Tm 3.59, 3 La 3.59-3.60
Pr: 0.0000 0.0000 0.0000  6 Tm 3.54, 6 Y 3.59
La: 0.1665 0.8335 0.5000  6 La 3.59, 6 Tm 3.59-3.60
La: 0.5000 0.5000 0.5000  6 La 3.59, 6 Tm 3.59-3.60
La: 0.8335 0.1665 0.5000  6 La 3.59, 6 Tm 3.59-3.60
Y: 0.3332 0.6668 0.0000  6 Tm 3.54, 3 Pr 3.59, 3 Y 3.59-3.60
Y: 0.6668 0.3332 0.0000  6 Tm 3.54, 3 Pr 3.59, 3 Y 3.59-3.60

Values from the calculation:
electronic total energy: -0.181 Ha/atom

***

7.
Material: Zr2SnAu
Method: DFT, GGA-PBE
State: optimized geometry

Unit cell a=3.9353 b=3.9353 c=7.4616 alpha=74.71 beta=74.71 gamma=60.00
Last column: nearest neighbours and their distance in Å.
Element x y z (fractional)
Zr: 0.2525 0.2525 0.2425  3 Au 2.85, 3 Sn 2.92
Zr: 0.7475 0.7475 0.7575  3 Au 2.85, 3 Sn 2.92
Sn: 0.5000 0.5000 0.5000  6 Zr 2.92
Au: 0.0000 0.0000 0.0000  6 Zr 2.85

Values from the calculation:
electronic total energy: -0.232 Ha/atom

***

8.
Material: IrRuSe2
Method: DFT, GGA-PBE
State: optimized geometry

Unit cell a=3.1305 b=3.7431 c=6.3178 alpha=90.00 beta=90.00 gamma=90.00
Last column: nearest neighbours and their distance in Å.
Element x y z (fractional)
Se: 0.0000 0.0000 0.8922  1 Ir 2.45, 4 Ru 2.61
Se: 0.5000 0.5000 0.3593  1 Ru 2.44, 4 Ir 2.60
Ru: 0.5000 0.5000 0.7448  5 Se 2.44-2.61
Ir: 0.0000 0.0000 0.5037  5 Se 2.45-2.60

Values from the calculation:
offset from the most stable computed form: 0.051 eV per atom
formation energy from raw total energies: 0.4 eV per formula unit

***

9.
Material: LaSnRh3
Method: DFT, GGA-PBE
State: optimized geometry

Unit cell a=4.9373 b=4.9373 c=4.9373 alpha=90.00 beta=90.00 gamma=90.00
Last column: nearest neighbours and their distance in Å.
Element x y z (fractional)
Rh: 0.0000 0.0000 0.5000  2 La 2.47
Rh: 0.0000 0.5000 0.0000  2 La 2.47
Rh: 0.5000 0.0000 0.0000  2 La 2.47
La: 0.0000 0.0000 0.0000  6 Rh 2.47
Sn: 0.5000 0.5000 0.5000  12 Rh 3.49

Values from the calculation:
offset from the most stable computed form: 0.738 eV per atom

***

10.
Material: Cs2Rb8CdAu
Method: DFT, GGA-PBE
State: optimized geometry

Unit cell a=7.8663 b=12.6859 c=10.6836 alpha=89.94 beta=90.00 gamma=99.00
Last column: nearest neighbours and their distance in Å.
Element x y z (fractional)
Cd: 0.0000 0.0000 0.5000  6 Rb 3.77-3.79
Cs: 0.4982 0.4999 0.7559  7 Rb 5.04-5.63, 2 Cs 5.22-5.47
Cs: 0.5018 0.5001 0.2441  7 Rb 5.04-5.63, 2 Cs 5.22-5.47
Rb: 0.5949 0.8512 0.9996  1 Au 3.44
Rb: 0.4438 0.1624 0.5004  1 Cd 3.77
Rb: 0.9325 0.1850 0.2321  1 Au 3.51, 1 Cd 3.79
Rb: 0.5562 0.8376 0.4996  1 Cd 3.77
Rb: 0.9322 0.1850 0.7675  1 Au 3.51, 1 Cd 3.79
Rb: 0.4051 0.1488 0.0004  1 Au 3.44
Rb: 0.0675 0.8150 0.7679  1 Au 3.51, 1 Cd 3.79
Rb: 0.0678 0.8150 0.2325  1 Au 3.51, 1 Cd 3.79
Au: 0.0000 0.0000 0.0000  6 Rb 3.44-3.51

Values from the calculation:
electronic total energy: -0.042 Ha/atom

***

11.
Material: TcPH2
Method: DFT, GGA-PBE
State: optimized geometry

Unit cell a=6.1430 b=3.1175 c=8.2262 alpha=90.00 beta=113.27 gamma=90.00
Last column: nearest neighbours and their distance in Å.
Element x y z (fractional)
Tc: 0.3813 0.0000 0.8884  3 H 1.74-1.77
Tc: 0.8825 0.0000 0.8899  4 H 1.76-1.79
Tc: 0.3813 0.5000 0.3884  3 H 1.74-1.77
Tc: 0.8825 0.5000 0.3899  4 H 1.76-1.79
H: 0.5672 0.5000 0.2693  2 Tc 1.77-1.79, 2 H 1.94
H: 0.8525 0.0000 0.2830  2 Tc 1.76
H: 0.4813 0.0000 0.1176  1 P 1.61, 1 Tc 1.74
H: 0.4813 0.5000 0.6176  1 P 1.61, 1 Tc 1.74
H: 0.8525 0.5000 0.7830  2 Tc 1.76
H: 0.0728 0.0000 0.7758  2 Tc 1.75-1.76
H: 0.5672 0.0000 0.7693  2 Tc 1.77-1.79, 2 H 1.94
H: 0.0728 0.5000 0.2758  2 Tc 1.75-1.76
P: 0.7215 0.0000 0.5437  6 H 2.25-2.39, 4 Tc 2.45-2.51
P: 0.7215 0.5000 0.0437  6 H 2.25-2.39, 4 Tc 2.45-2.51
P: 0.2364 0.0000 0.1455  1 H 1.61
P: 0.2364 0.5000 0.6455  1 H 1.61

Values from the calculation:
offset from the most stable computed form: 0.042 eV per atom

***

12.
Material: CaSbAu
Method: DFT, GGA-PBE
State: optimized geometry

Unit cell a=4.8358 b=4.8358 c=12.5485 alpha=90.00 beta=90.00 gamma=120.00
Last column: nearest neighbours and their distance in Å.
Element x y z (fractional)
Au: 0.3333 0.6667 0.2500  3 Ca 2.79
Au: 0.6667 0.3333 0.7500  3 Ca 2.79
Ca: 0.0000 0.0000 0.2500  3 Au 2.79
Ca: 0.0000 0.0000 0.7500  3 Au 2.79
Sb: 0.0000 0.0000 0.0000  2 Ca 3.14
Sb: 0.0000 0.0000 0.5000  2 Ca 3.14

Values from the calculation:
formation energy from raw total energies: 1.0 eV per formula unit